[1]
Here is an optimized crystal structure of Tb5PrDy2Ho from Alexandria via LeMat-Bulk. Energies are from PBE.

Lattice parameters (Å, degrees): 9.683 9.683 9.683 124.26 124.26 82.77
Sites, in units of the cell vectors:
Tb1 0.000 0.000 0.000
Tb2 0.073 0.573 0.909
Tb3 0.165 0.073 0.500
Tb4 0.335 0.835 0.909
Tb5 0.427 0.335 0.500
Tb6 0.500 0.500 0.000
Tb7 0.573 0.665 0.500
Tb8 0.665 0.165 0.091
Tb9 0.835 0.927 0.500
Tb10 0.927 0.427 0.091
Pr1 0.250 0.250 0.000
Pr2 0.750 0.750 0.000
Dy1 0.111 0.389 0.500
Dy2 0.389 0.889 0.277
Dy3 0.611 0.111 0.723
Dy4 0.889 0.611 0.500
Ho1 0.250 0.750 0.500
Ho2 0.750 0.250 0.500

Properties
- Theoretical density: 7.95 g/cm³
- Total energy: -78.17 eV/cell
- Crystal system: tetragonal
- Spin magnetization: 0.0 μB per formula unit
- ΔE_f: 292 meV per atom

---

[2]
Here is an optimized crystal structure of Tb2PrDy5Ho from Alexandria via LeMat-Bulk. Energies are from PBE.

Lattice parameters (Å, degrees): 9.714 9.714 9.714 125.26 125.26 81.11
Sites, in units of the cell vectors:
Tb1 0.113 0.613 0.726
Tb2 0.387 0.113 0.500
Tb3 0.613 0.887 0.500
Tb4 0.887 0.387 0.274
Pr1 0.250 0.250 0.000
Pr2 0.750 0.750 0.000
Dy1 0.000 0.000 0.000
Dy2 0.073 0.162 0.500
Dy3 0.162 0.662 0.088
Dy4 0.338 0.427 0.500
Dy5 0.427 0.927 0.088
Dy6 0.500 0.500 0.000
Dy7 0.573 0.073 0.912
Dy8 0.662 0.573 0.500
Dy9 0.838 0.338 0.912
Dy10 0.927 0.838 0.500
Ho1 0.250 0.750 0.500
Ho2 0.750 0.250 0.500

Properties
- Theoretical density: 8.10 g/cm³
- Total energy: -78.10 eV/cell
- Crystal system: tetragonal
- Spin magnetization: 0.0 μB per formula unit
- ΔE_f: 287 meV per atom

---

[3]
Here is an optimized crystal structure of TbPr2DyHo2 from Alexandria via LeMat-Bulk. Energies are from PBE.

Lattice parameters (Å, degrees): 7.042 5.681 9.846 90.00 90.00 90.00
Sites, in units of the cell vectors:
Tb1 0.000 0.000 0.000
Tb2 0.500 0.000 0.000
Pr1 0.000 0.500 0.500
Pr2 0.250 0.000 0.325
Pr3 0.500 0.500 0.500
Pr4 0.750 0.000 0.675
Dy1 0.250 0.500 0.839
Dy2 0.750 0.500 0.161
Ho1 0.250 0.000 0.665
Ho2 0.250 0.500 0.166
Ho3 0.750 0.000 0.335
Ho4 0.750 0.500 0.834

Properties
- Theoretical density: 7.87 g/cm³
- Total energy: -55.08 eV/cell
- Crystal system: orthorhombic
- Spin magnetization: 0.0 μB per formula unit
- ΔE_f: 68 meV per atom

---

[4]
Here is an optimized crystal structure of Tb4Pr2DyHo from Alexandria via LeMat-Bulk. Energies are from PBE.

Lattice parameters (Å, degrees): 5.075 5.098 10.132 90.00 90.06 90.00
Sites, in units of the cell vectors:
Tb1 0.000 0.000 0.249
Tb2 0.000 0.000 0.751
Tb3 0.500 0.500 0.250
Tb4 0.500 0.500 0.750
Pr1 0.000 0.500 0.000
Pr2 0.500 0.000 0.500
Dy1 0.000 0.500 0.500
Ho1 0.500 0.000 0.000

Properties
- Theoretical density: 7.89 g/cm³
- Total energy: -37.11 eV/cell
- Crystal system: monoclinic
- Spin magnetization: 0.0 μB per formula unit
- ΔE_f: 19 meV per atom

---

[5]
Here is an optimized crystal structure of Tb6Pr3Dy2Ho from Alexandria via LeMat-Bulk. Energies are from PBE.

Lattice parameters (Å, degrees): 6.228 6.228 11.895 95.00 95.00 119.99
Sites, in units of the cell vectors:
Tb1 0.085 0.418 0.755
Tb2 0.249 0.249 0.245
Tb3 0.418 0.085 0.755
Tb4 0.582 0.915 0.245
Tb5 0.751 0.751 0.755
Tb6 0.915 0.582 0.245
Pr1 0.000 0.000 0.500
Pr2 0.333 0.667 0.500
Pr3 0.667 0.333 0.500
Dy1 0.167 0.833 0.000
Dy2 0.833 0.167 0.000
Ho1 0.500 0.500 0.000

Properties
- Theoretical density: 7.88 g/cm³
- Total energy: -55.69 eV/cell
- Crystal system: monoclinic
- Spin magnetization: 0.0 μB per formula unit
- ΔE_f: 18 meV per atom

---

[6]
Here is an optimized crystal structure of TbPr2Dy2Ho2 from Alexandria via LeMat-Bulk. Energies are from PBE.

Lattice parameters (Å, degrees): 6.147 6.147 11.872 108.26 108.26 33.35
Sites, in units of the cell vectors:
Tb1 0.000 0.000 0.000
Pr1 0.328 0.328 0.415
Pr2 0.672 0.672 0.585
Dy1 0.226 0.226 0.865
Dy2 0.774 0.774 0.135
Ho1 0.450 0.450 0.731
Ho2 0.550 0.550 0.269

Properties
- Theoretical density: 7.81 g/cm³
- Total energy: -31.95 eV/cell
- Crystal system: monoclinic
- Spin magnetization: 0.0 μB per formula unit
- ΔE_f: 85 meV per atom

---

[7]
Here is an optimized crystal structure of Tb2PrDy2Ho2 from Alexandria via LeMat-Bulk. Energies are from PBE.

Lattice parameters (Å, degrees): 8.993 8.993 8.399 116.19 116.19 22.45
Sites, in units of the cell vectors:
Tb1 0.072 0.072 0.411
Tb2 0.928 0.928 0.589
Pr1 0.500 0.500 0.000
Dy1 0.150 0.150 0.890
Dy2 0.850 0.850 0.110
Ho1 0.288 0.288 0.702
Ho2 0.712 0.712 0.298

Properties
- Theoretical density: 7.98 g/cm³
- Total energy: -31.36 eV/cell
- Crystal system: monoclinic
- Spin magnetization: 0.0 μB per formula unit
- ΔE_f: 149 meV per atom

---

[8]
Here is an optimized crystal structure of TbPr6Dy3Ho2 from Alexandria via LeMat-Bulk. Energies are from PBE.

Lattice parameters (Å, degrees): 6.305 6.305 11.886 95.06 95.06 120.00
Sites, in units of the cell vectors:
Tb1 0.000 0.000 0.000
Pr1 0.084 0.417 0.250
Pr2 0.250 0.250 0.750
Pr3 0.417 0.084 0.250
Pr4 0.583 0.916 0.750
Pr5 0.750 0.750 0.250
Pr6 0.916 0.583 0.750
Dy1 0.167 0.833 0.500
Dy2 0.500 0.500 0.500
Dy3 0.833 0.167 0.500
Ho1 0.333 0.667 0.000
Ho2 0.667 0.333 0.000

Properties
- Theoretical density: 7.51 g/cm³
- Total energy: -56.14 eV/cell
- Crystal system: monoclinic
- Spin magnetization: 0.0 μB per formula unit
- ΔE_f: 11 meV per atom

---

[9]
Here is an optimized crystal structure of Tb3PrDyHo from Alexandria via LeMat-Bulk. Energies are from PBE.

Lattice parameters (Å, degrees): 10.378 10.378 6.984 90.09 90.09 31.67
Sites, in units of the cell vectors:
Tb1 0.022 0.022 0.236
Tb2 0.279 0.279 0.259
Tb3 0.337 0.337 0.774
Tb4 0.663 0.663 0.226
Tb5 0.721 0.721 0.741
Tb6 0.978 0.978 0.764
Pr1 0.144 0.144 0.523
Pr2 0.856 0.856 0.477
Dy1 0.444 0.444 0.227
Dy2 0.556 0.556 0.773
Ho1 0.150 0.150 0.957
Ho2 0.850 0.850 0.043

Properties
- Theoretical density: 7.95 g/cm³
- Total energy: -53.24 eV/cell
- Crystal system: monoclinic
- Spin magnetization: 0.0 μB per formula unit
- ΔE_f: 205 meV per atom

---

[10]
Here is an optimized crystal structure of TbPr5Dy2Ho from Alexandria via LeMat-Bulk. Energies are from PBE.

Lattice parameters (Å, degrees): 10.684 10.684 10.756 90.00 90.00 149.19
Sites, in units of the cell vectors:
Tb1 0.199 0.801 0.500
Tb2 0.801 0.199 0.000
Pr1 0.015 0.985 0.506
Pr2 0.279 0.721 0.802
Pr3 0.296 0.704 0.195
Pr4 0.384 0.616 0.511
Pr5 0.484 0.516 0.235
Pr6 0.516 0.484 0.735
Pr7 0.616 0.384 0.011
Pr8 0.704 0.296 0.695
Pr9 0.721 0.279 0.302
Pr10 0.985 0.015 0.006
Dy1 0.113 0.887 0.229
Dy2 0.115 0.885 0.798
Dy3 0.885 0.115 0.298
Dy4 0.887 0.113 0.729
Ho1 0.407 0.593 0.954
Ho2 0.593 0.407 0.454

Properties
- Theoretical density: 7.15 g/cm³
- Total energy: -82.10 eV/cell
- Crystal system: orthorhombic
- Spin magnetization: 0.0 μB per formula unit
- ΔE_f: 140 meV per atom

---

[11]
Here is an optimized crystal structure of TbPr2Dy6Ho3 from Alexandria via LeMat-Bulk. Energies are from PBE.

Lattice parameters (Å, degrees): 6.179 6.179 11.815 94.98 94.98 119.97
Sites, in units of the cell vectors:
Tb1 0.000 0.000 0.000
Pr1 0.333 0.667 0.000
Pr2 0.667 0.333 0.000
Dy1 0.085 0.418 0.254
Dy2 0.247 0.247 0.746
Dy3 0.418 0.085 0.254
Dy4 0.582 0.915 0.746
Dy5 0.753 0.753 0.254
Dy6 0.915 0.582 0.746
Ho1 0.166 0.834 0.500
Ho2 0.500 0.500 0.500
Ho3 0.834 0.166 0.500

Properties
- Theoretical density: 8.24 g/cm³
- Total energy: -55.32 eV/cell
- Crystal system: monoclinic
- Spin magnetization: 0.0 μB per formula unit
- ΔE_f: 18 meV per atom

---

[12]
Here is an optimized crystal structure of Tb2PrDyHo from Alexandria via LeMat-Bulk. Energies are from PBE.

Lattice parameters (Å, degrees): 7.144 7.144 7.207 90.00 90.00 107.75
Sites, in units of the cell vectors:
Tb1 0.190 0.190 0.000
Tb2 0.190 0.190 0.500
Tb3 0.810 0.810 0.000
Tb4 0.810 0.810 0.500
Pr1 0.228 0.772 0.750
Pr2 0.772 0.228 0.250
Dy1 0.497 0.503 0.750
Dy2 0.503 0.497 0.250
Ho1 0.225 0.775 0.250
Ho2 0.775 0.225 0.750

Properties
- Theoretical density: 7.45 g/cm³
- Total energy: -42.63 eV/cell
- Crystal system: orthorhombic
- Spin magnetization: 0.0 μB per formula unit
- ΔE_f: 381 meV per atom

---

[13]
Here is an optimized crystal structure of Tb3PrDy6Ho2 from Alexandria via LeMat-Bulk. Energies are from PBE.

Lattice parameters (Å, degrees): 6.157 6.157 11.792 94.96 94.96 119.95
Sites, in units of the cell vectors:
Tb1 0.000 0.000 0.000
Tb2 0.333 0.667 0.000
Tb3 0.667 0.333 0.000
Pr1 0.500 0.500 0.500
Dy1 0.082 0.416 0.249
Dy2 0.250 0.250 0.751
Dy3 0.416 0.082 0.249
Dy4 0.584 0.918 0.751
Dy5 0.750 0.750 0.249
Dy6 0.918 0.584 0.751
Ho1 0.167 0.833 0.500
Ho2 0.833 0.167 0.500

Properties
- Theoretical density: 8.37 g/cm³
- Total energy: -55.25 eV/cell
- Crystal system: monoclinic
- Spin magnetization: 0.0 μB per formula unit
- ΔE_f: 16 meV per atom

---

[14]
Here is an optimized crystal structure of TbPr6Dy2Ho3 from Alexandria via LeMat-Bulk. Energies are from PBE.

Lattice parameters (Å, degrees): 6.304 6.304 11.875 95.06 95.06 120.00
Sites, in units of the cell vectors:
Tb1 0.000 0.000 0.000
Pr1 0.084 0.417 0.251
Pr2 0.250 0.250 0.749
Pr3 0.417 0.084 0.251
Pr4 0.583 0.916 0.749
Pr5 0.750 0.750 0.251
Pr6 0.916 0.583 0.749
Dy1 0.333 0.667 0.000
Dy2 0.667 0.333 0.000
Ho1 0.167 0.833 0.500
Ho2 0.500 0.500 0.500
Ho3 0.833 0.167 0.500

Properties
- Theoretical density: 7.53 g/cm³
- Total energy: -56.11 eV/cell
- Crystal system: monoclinic
- Spin magnetization: 0.0 μB per formula unit
- ΔE_f: 11 meV per atom

---

[15]
Here is an optimized crystal structure of Tb5Pr2DyHo from Alexandria via LeMat-Bulk. Energies are from PBE.

Lattice parameters (Å, degrees): 10.048 10.048 10.048 129.20 129.20 74.69
Sites, in units of the cell vectors:
Tb1 0.000 0.000 0.000
Tb2 0.072 0.572 0.928
Tb3 0.144 0.072 0.500
Tb4 0.356 0.856 0.928
Tb5 0.428 0.356 0.500
Tb6 0.500 0.500 0.000
Tb7 0.572 0.644 0.500
Tb8 0.644 0.144 0.072
Tb9 0.856 0.928 0.500
Tb10 0.928 0.428 0.072
Pr1 0.119 0.381 0.500
Pr2 0.381 0.881 0.261
Pr3 0.619 0.119 0.739
Pr4 0.881 0.619 0.500
Dy1 0.250 0.250 0.000
Dy2 0.750 0.750 0.000
Ho1 0.250 0.750 0.500
Ho2 0.750 0.250 0.500

Properties
- Theoretical density: 7.86 g/cm³
- Total energy: -78.90 eV/cell
- Crystal system: tetragonal
- Spin magnetization: 0.0 μB per formula unit
- ΔE_f: 271 meV per atom

---

[16]
Here is an optimized crystal structure of Tb2PrDy6Ho3 from Alexandria via LeMat-Bulk. Energies are from PBE.

Lattice parameters (Å, degrees): 6.153 6.153 11.779 94.98 94.98 119.97
Sites, in units of the cell vectors:
Tb1 0.167 0.833 0.000
Tb2 0.833 0.167 0.000
Pr1 0.500 0.500 0.000
Dy1 0.081 0.415 0.747
Dy2 0.251 0.251 0.252
Dy3 0.415 0.081 0.747
Dy4 0.585 0.919 0.253
Dy5 0.749 0.749 0.748
Dy6 0.919 0.585 0.253
Ho1 0.000 0.000 0.500
Ho2 0.333 0.667 0.500
Ho3 0.667 0.333 0.500

Properties
- Theoretical density: 8.42 g/cm³
- Total energy: -55.18 eV/cell
- Crystal system: monoclinic
- Spin magnetization: 0.0 μB per formula unit
- ΔE_f: 17 meV per atom

---

[17]
Here is an optimized crystal structure of Tb6Pr3DyHo2 from Alexandria via LeMat-Bulk. Energies are from PBE.

Lattice parameters (Å, degrees): 6.225 6.225 11.891 95.00 95.00 120.00
Sites, in units of the cell vectors:
Tb1 0.084 0.418 0.755
Tb2 0.249 0.249 0.245
Tb3 0.418 0.084 0.755
Tb4 0.582 0.916 0.245
Tb5 0.751 0.751 0.755
Tb6 0.916 0.582 0.245
Pr1 0.000 0.000 0.500
Pr2 0.333 0.667 0.500
Pr3 0.667 0.333 0.500
Dy1 0.500 0.500 0.000
Ho1 0.167 0.833 0.000
Ho2 0.833 0.167 0.000

Properties
- Theoretical density: 7.90 g/cm³
- Total energy: -55.66 eV/cell
- Crystal system: monoclinic
- Spin magnetization: 0.0 μB per formula unit
- ΔE_f: 18 meV per atom

---

[18]
Here is an optimized crystal structure of TbPr2Dy5Ho from Alexandria via LeMat-Bulk. Energies are from PBE.

Lattice parameters (Å, degrees): 9.997 9.997 9.997 128.89 128.89 75.19
Sites, in units of the cell vectors:
Tb1 0.250 0.250 0.000
Tb2 0.750 0.750 0.000
Pr1 0.119 0.619 0.738
Pr2 0.381 0.119 0.500
Pr3 0.619 0.881 0.500
Pr4 0.881 0.381 0.262
Dy1 0.000 0.000 0.000
Dy2 0.072 0.145 0.500
Dy3 0.145 0.645 0.073
Dy4 0.355 0.428 0.500
Dy5 0.428 0.928 0.073
Dy6 0.500 0.500 0.000
Dy7 0.572 0.072 0.927
Dy8 0.645 0.572 0.500
Dy9 0.855 0.355 0.927
Dy10 0.928 0.855 0.500
Ho1 0.250 0.750 0.500
Ho2 0.750 0.250 0.500

Properties
- Theoretical density: 7.99 g/cm³
- Total energy: -78.68 eV/cell
- Crystal system: tetragonal
- Spin magnetization: 0.0 μB per formula unit
- ΔE_f: 271 meV per atom

---

[19]
Here is an optimized crystal structure of PrDy3Ho2Te6 from Alexandria via LeMat-Bulk. Energies are from PBE.

Lattice parameters (Å, degrees): 9.765 9.765 8.823 102.16 102.16 25.70
Sites, in units of the cell vectors:
Pr1 0.000 0.000 0.000
Dy1 0.000 0.000 0.500
Dy2 0.340 0.340 0.166
Dy3 0.660 0.660 0.834
Ho1 0.336 0.336 0.669
Ho2 0.664 0.664 0.331
Te1 0.168 0.168 0.584
Te2 0.173 0.173 0.089
Te3 0.498 0.498 0.739
Te4 0.502 0.502 0.261
Te5 0.827 0.827 0.911
Te6 0.832 0.832 0.416

Properties
- Theoretical density: 8.04 g/cm³
- Total energy: -62.12 eV/cell
- Crystal system: monoclinic
- Spin magnetization: 0.0 μB per formula unit
- Uncorrected formation energy: -1.29 eV per atom

---

[20]
Here is an optimized crystal structure of Pr2DyHoTe6 from Alexandria via LeMat-Bulk. Energies are from PBE.

Lattice parameters (Å, degrees): 8.405 8.405 8.405 55.83 55.83 55.83
Sites, in units of the cell vectors:
Pr1 0.000 0.000 0.000
Pr2 0.500 0.500 0.500
Dy1 0.691 0.691 0.691
Ho1 0.191 0.191 0.191
Te1 0.079 0.420 0.804
Te2 0.303 0.920 0.578
Te3 0.420 0.804 0.079
Te4 0.578 0.303 0.920
Te5 0.804 0.079 0.420
Te6 0.920 0.578 0.303

Properties
- Theoretical density: 6.02 g/cm³
- Total energy: -51.29 eV/cell
- Crystal system: trigonal
- Spin magnetization: 0.0 μB per formula unit
- Uncorrected formation energy: -1.37 eV per atom